A geometry-optimized LiAcLaAg structure, computed with PBE.

Results
The energy relative to the lowest polymorph listed for this composition comes out at 0.0 meV/atom. For the magnetization, the calculation gives 0.000 μB/atom. The formation energy comes out at -0.068 eV per atom. As for the density: 6.6 g/cm3.

Cell: 4.8997 4.0373 12.2015 Å, 90.00 90.00 90.00°
Space group Amm2 (No. 38)
Asymmetric unit:
Li  0.0000  0.0000  0.0000 (multiplicity 2)
Ac  0.5000  0.0000  0.5992 (multiplicity 2)
La  0.0000  0.0000  0.2882 (multiplicity 2)
Ag  0.5000  0.0000  0.8775 (multiplicity 2)